Below is an optimized crystal structure of YSbBr, with properties calculated at the PBE-GGA level.

Output
**ΔE_f (raw)**: -0.33 eV per atom
**Energy above the lowest structure with this stoichiometry**: 0.658 eV per atom
**Space-group type**: F-43m, No. 216

Unit cell a=5.0249 b=5.0249 c=5.0249 alpha=60.00 beta=60.00 gamma=60.00
Last column: nearest neighbours and their distance in Å.
Fractional positions:
1 Y 0.0000 0.0000 0.0000  4 Br 3.08
2 Sb 0.5000 0.5000 0.5000  4 Br 3.08
3 Br 0.2500 0.2500 0.2500  4 Sb 3.08, 4 Y 3.08